A plane-wave DFT calculation with PBE-GGA was carried out for an optimized crystal structure of Ac2TlN.

Calculated values
SG: Pnma, No. 62
E_form (uncorrected): -0.6755 eV/atom
Total DFT energy (no corrections): -86.44 eV for the cell shown
Total moment: 0.00 μB per atom

POSCAR file:
```
Ac2TlN
1.0
-0.096 1.501 5.088
2.248 -7.085 2.132
10.722 3.180 -0.737
Ac N Tl
8 4 4
Direct
0.750 0.072 0.789 Ac
0.250 0.351 0.943 Ac
0.250 0.428 0.289 Ac
0.250 0.928 0.211 Ac
0.750 0.649 0.057 Ac
0.750 0.149 0.443 Ac
0.250 0.851 0.557 Ac
0.750 0.572 0.711 Ac
0.250 0.586 0.098 N
0.250 0.086 0.402 N
0.750 0.414 0.902 N
0.750 0.914 0.598 N
0.750 0.678 0.375 Tl
0.250 0.822 0.875 Tl
0.250 0.322 0.625 Tl
0.750 0.178 0.125 Tl
```